Record 1
Here is a relaxed structure of Au2IF from Alexandria via LeMat-Bulk. Energies are from PBE-GGA.

Cell: 4.817 4.817 4.817 Å, 60.00 60.00 60.00°
Atoms (fractional coordinates):
1 Au 0.250 0.250 0.250
2 Au 0.750 0.750 0.750
3 F 0.000 0.000 0.000
4 I 0.500 0.500 0.500

Results
SG: Fm-3m, No. 225
Distance to the lowest polymorph of the same formula: 127.5 meV per atom
Energy relative to the elements, uncorrected: -0.01 eV/atom
Crystal system: cubic

Record 2
Here is a relaxed structure of MgZn2Ni from Alexandria via LeMat-Bulk. Energies are from PBE-GGA.

Cell: 5.053 5.053 2.723 Å, 79.56 79.56 117.65°
Atoms (fractional coordinates):
1 Mg 0.500 0.000 0.500
2 Zn 0.000 0.000 0.000
3 Zn 0.500 0.500 0.000
4 Ni 0.000 0.500 0.500

Results
SG: C2/m, No. 12
Crystal system: monoclinic

Record 3
Here is a relaxed structure of Y2AsP from Alexandria via LeMat-Bulk. Energies are from PBE-GGA.

Cell: 6.409 6.409 7.797 Å, 65.73 65.73 90.00°
Atoms (fractional coordinates):
1 As 0.000 0.000 0.000
2 As 0.750 0.250 0.500
3 P 0.500 0.500 0.000
4 P 0.250 0.750 0.500
5 Y 0.135 0.625 0.250
6 Y 0.375 0.385 0.750
7 Y 0.615 0.125 0.250
8 Y 0.875 0.865 0.750

Results
SG: I-42d, No. 122
Crystal system: tetragonal

Record 4
Here is a relaxed structure of Ac2PbBr2 from Alexandria via LeMat-Bulk. Energies are from PBE-GGA.

Cell: 4.799 4.799 11.124 Å, 77.54 77.54 60.00°
Atoms (fractional coordinates):
1 Ac 0.392 0.392 0.825
2 Ac 0.608 0.608 0.175
3 Pb 0.000 0.000 0.000
4 Br 0.223 0.223 0.332
5 Br 0.777 0.777 0.668

Results
SG: R-3m, No. 166
Energy relative to the elements, uncorrected: -1.34 eV/atom
Crystal system: trigonal

Record 5
Here is a relaxed structure of Zr2InHS from Alexandria via LeMat-Bulk. Energies are from PBE-GGA.

Cell: 4.781 3.700 4.781 Å, 90.00 90.00 90.00°
Atoms (fractional coordinates):
1 In 0.000 0.500 0.000
2 H 0.000 0.000 0.000
3 Zr 0.500 0.000 0.000
4 Zr 0.000 0.000 0.500
5 S 0.500 0.500 0.500

Results
SG: P4/mmm, No. 123
Crystal system: tetragonal

Record 6
Here is a relaxed structure of CsGeB from Alexandria via LeMat-Bulk. Energies are from PBE-GGA.

Cell: 7.864 3.812 10.948 Å, 90.00 90.00 90.00°
Atoms (fractional coordinates):
1 Cs 0.498 0.250 0.695
2 Cs 0.502 0.750 0.305
3 Cs 0.998 0.250 0.805
4 Cs 0.002 0.750 0.195
5 B 0.142 0.750 0.544
6 B 0.358 0.250 0.044
7 B 0.642 0.750 0.956
8 B 0.858 0.250 0.456
9 Ge 0.643 0.250 0.030
10 Ge 0.143 0.250 0.470
11 Ge 0.357 0.750 0.970
12 Ge 0.857 0.750 0.530

Results
SG: Pnma, No. 62
Crystal system: orthorhombic

Record 7
Here is a relaxed structure of Rb2CrGaSe4 from Alexandria via LeMat-Bulk. Energies are from PBE-GGA.

Cell: 6.360 7.649 12.499 Å, 83.93 75.26 65.43°
Atoms (fractional coordinates):
1 Ga 0.500 0.000 0.000
2 Ga 0.250 0.500 0.500
3 Rb 0.820 0.000 0.361
4 Rb 0.180 0.000 0.639
5 Rb 0.930 0.500 0.139
6 Rb 0.570 0.500 0.861
7 Cr 0.750 0.500 0.500
8 Cr 0.000 0.000 0.000
9 Se 0.852 0.689 0.606
10 Se 0.898 0.811 0.894
11 Se 0.459 0.689 0.394
12 Se 0.542 0.311 0.606
13 Se 0.147 0.311 0.394
14 Se 0.291 0.811 0.106
15 Se 0.603 0.189 0.106
16 Se 0.208 0.189 0.894

Results
SG: Fddd, No. 70
Energy relative to the elements, uncorrected: -0.82 eV/atom
Crystal system: orthorhombic

Record 8
Here is a relaxed structure of AcAgRuO6 from Alexandria via LeMat-Bulk. Energies are from PBE-GGA.

Cell: 6.417 5.355 4.704 Å, 87.75 107.13 58.41°
Atoms (fractional coordinates):
1 Ac 0.642 0.623 0.309
2 O 0.068 0.538 0.721
3 O 0.215 0.728 0.292
4 O 0.631 0.127 0.399
5 O 0.109 0.301 0.241
6 O 0.606 0.406 0.823
7 O 0.489 0.982 0.819
8 Ru 0.323 0.348 0.549
9 Ag 0.917 0.946 0.849

Results
SG: P1, No. 1
Energy relative to the elements, uncorrected: -1.23 eV/atom
Crystal system: triclinic

Uncorrected energy (eV per atom)
-2.504 -2.524 -6.803 -4.390 -5.569 -3.616 -4.384 -6.337
Density of states at the Fermi level (states/eV per atom)
0.04 0.47 0.00 0.00 0.85 0.54 0.26 0.68